1.
## NdDy4Ho5 (GGA-PBE)

Data for a relaxed NdDy4Ho5 crystal.

## Properties
Its space group is I4, No. 79. For the theoretical density, the calculation gives 8.3 g cm⁻³. The energy above the lowest structure with this stoichiometry comes out at 0.2416 eV/atom. As for the final energy: -43.03 eV/f.u.

a b c (Å): 7.855 7.855 7.855
angles (deg): 99.16 99.16 132.97
Fractional coordinates of all 10 atoms:
Nd (0.000, 0.000, 0.000)
Dy (0.118, 0.818, 0.399)
Dy (0.419, 0.719, 0.601)
Dy (0.719, 0.118, 0.300)
Dy (0.818, 0.419, 0.700)
Ho (0.040, 0.127, 0.621)
Ho (0.127, 0.506, 0.087)
Ho (0.418, 0.040, 0.913)
Ho (0.506, 0.418, 0.379)
Ho (0.543, 0.543, 0.000)


2.
## Nd2DyHo (GGA-PBE)

Data for a relaxed Nd2DyHo crystal.

## Properties
Its space group is Fm-3m, No. 225. For the theoretical density, the calculation gives 7.7 g cm⁻³. The energy above the lowest structure with this stoichiometry comes out at 0.1024 eV/atom. As for the final energy: -18.26 eV/f.u.

a b c (Å): 5.738 5.738 5.738
angles (deg): 60.00 60.00 60.00
Fractional coordinates of all 4 atoms:
Nd (0.250, 0.250, 0.250)
Nd (0.750, 0.750, 0.750)
Dy (0.000, 0.000, 0.000)
Ho (0.500, 0.500, 0.500)


3.
## Nd2Dy5Ho6 (GGA-PBE)

Data for a relaxed Nd2Dy5Ho6 crystal.

## Properties
Its space group is Pbam, No. 55. For the theoretical density, the calculation gives 8.2 g cm⁻³. As for the final energy: -58.72 eV/f.u.

a b c (Å): 11.668 20.190 3.574
angles (deg): 90.00 90.00 90.00
Fractional coordinates of all 26 atoms:
Nd (0.168, 0.216, 0.000)
Nd (0.332, 0.716, 0.000)
Nd (0.668, 0.284, 0.000)
Nd (0.832, 0.784, 0.000)
Dy (0.000, 0.500, 0.500)
Dy (0.092, 0.778, 0.500)
Dy (0.200, 0.052, 0.500)
Dy (0.300, 0.552, 0.500)
Dy (0.408, 0.278, 0.500)
Dy (0.500, 0.000, 0.500)
Dy (0.592, 0.722, 0.500)
Dy (0.700, 0.448, 0.500)
Dy (0.800, 0.948, 0.500)
Dy (0.908, 0.222, 0.500)
Ho (0.059, 0.922, 0.000)
Ho (0.079, 0.634, 0.000)
Ho (0.179, 0.373, 0.500)
Ho (0.321, 0.873, 0.500)
Ho (0.421, 0.134, 0.000)
Ho (0.441, 0.422, 0.000)
Ho (0.559, 0.578, 0.000)
Ho (0.579, 0.866, 0.000)
Ho (0.679, 0.127, 0.500)
Ho (0.821, 0.627, 0.500)
Ho (0.921, 0.366, 0.000)
Ho (0.941, 0.078, 0.000)


4.
## Nd5DyHo5 (GGA-PBE)

Data for a relaxed Nd5DyHo5 crystal.

## Properties
Its space group is C2/m, No. 12. For the theoretical density, the calculation gives 7.6 g cm⁻³. As for the final energy: -48.46 eV/f.u.

a b c (Å): 9.944 9.944 7.044
angles (deg): 110.64 110.64 35.06
Fractional coordinates of all 11 atoms:
Nd (0.000, 0.000, 0.000)
Nd (0.324, 0.324, 0.068)
Nd (0.324, 0.324, 0.579)
Nd (0.676, 0.676, 0.421)
Nd (0.676, 0.676, 0.932)
Dy (0.500, 0.500, 0.000)
Ho (0.122, 0.122, 0.623)
Ho (0.169, 0.169, 0.170)
Ho (0.500, 0.500, 0.500)
Ho (0.831, 0.831, 0.830)
Ho (0.878, 0.878, 0.377)


5.
## Nd8Dy2Ho (GGA-PBE)

Data for a relaxed Nd8Dy2Ho crystal.

## Properties
Its space group is C2/m, No. 12. For the theoretical density, the calculation gives 7.1 g cm⁻³. The energy above the lowest structure with this stoichiometry comes out at 0.0355 eV/atom. As for the final energy: -49.71 eV/f.u.

a b c (Å): 7.943 7.943 8.656
angles (deg): 112.09 112.09 50.84
Fractional coordinates of all 11 atoms:
Nd (0.108, 0.108, 0.992)
Nd (0.148, 0.666, 0.617)
Nd (0.241, 0.241, 0.777)
Nd (0.334, 0.852, 0.383)
Nd (0.666, 0.148, 0.617)
Nd (0.759, 0.759, 0.223)
Nd (0.852, 0.334, 0.383)
Nd (0.892, 0.892, 0.008)
Dy (0.355, 0.355, 0.243)
Dy (0.645, 0.645, 0.757)
Ho (0.500, 0.500, 0.000)


6.
## Nd3DyHo3 (GGA-PBE)

Data for a relaxed Nd3DyHo3 crystal.

## Properties
Its space group is R-3, No. 148. For the theoretical density, the calculation gives 7.5 g cm⁻³. The energy above the lowest structure with this stoichiometry comes out at 0.1788 eV/atom. As for the final energy: -31.24 eV/f.u.

a b c (Å): 8.882 8.882 8.882
angles (deg): 58.67 58.67 58.67
Fractional coordinates of all 14 atoms:
Nd (0.065, 0.571, 0.217)
Nd (0.217, 0.065, 0.571)
Nd (0.429, 0.783, 0.935)
Nd (0.571, 0.217, 0.065)
Nd (0.783, 0.935, 0.429)
Nd (0.935, 0.429, 0.783)
Dy (0.156, 0.156, 0.156)
Dy (0.844, 0.844, 0.844)
Ho (0.215, 0.675, 0.437)
Ho (0.325, 0.563, 0.785)
Ho (0.437, 0.215, 0.675)
Ho (0.563, 0.785, 0.325)
Ho (0.675, 0.437, 0.215)
Ho (0.785, 0.325, 0.563)


7.
## Nd5Dy2Ho12 (GGA-PBE)

Data for a relaxed Nd5Dy2Ho12 crystal.

## Properties
Its space group is P-1, No. 2. For the theoretical density, the calculation gives 8.2 g cm⁻³. The energy above the lowest structure with this stoichiometry comes out at 0.0000 eV/atom. As for the final energy: -87.59 eV/f.u.

a b c (Å): 6.175 9.446 10.700
angles (deg): 101.03 95.59 90.04
Fractional coordinates of all 19 atoms:
Nd (0.000, 0.000, 0.000)
Nd (0.158, 0.632, 0.946)
Nd (0.263, 0.053, 0.579)
Nd (0.737, 0.947, 0.421)
Nd (0.842, 0.368, 0.054)
Dy (0.420, 0.682, 0.526)
Dy (0.580, 0.318, 0.474)
Ho (0.054, 0.213, 0.317)
Ho (0.104, 0.422, 0.631)
Ho (0.211, 0.841, 0.263)
Ho (0.317, 0.263, 0.895)
Ho (0.369, 0.473, 0.212)
Ho (0.474, 0.894, 0.842)
Ho (0.526, 0.106, 0.158)
Ho (0.631, 0.527, 0.788)
Ho (0.683, 0.737, 0.105)
Ho (0.789, 0.159, 0.737)
Ho (0.896, 0.578, 0.369)
Ho (0.946, 0.787, 0.683)


8.
## Nd5DyHo (GGA-PBE)

Data for a relaxed Nd5DyHo crystal.

## Properties
Its space group is Immm, No. 71. For the theoretical density, the calculation gives 5.5 g cm⁻³. As for the final energy: -26.14 eV/f.u.

a b c (Å): 8.080 8.080 8.080
angles (deg): 137.03 113.65 82.37
Fractional coordinates of all 7 atoms:
Nd (0.000, 0.000, 0.000)
Nd (0.248, 0.748, 0.500)
Nd (0.323, 0.500, 0.823)
Nd (0.677, 0.500, 0.177)
Nd (0.752, 0.252, 0.500)
Dy (0.500, 0.000, 0.500)
Ho (0.000, 0.500, 0.500)


9.
## NdDy7Ho4 (GGA-PBE)

Data for a relaxed NdDy7Ho4 crystal.

## Properties
Its space group is C2/m, No. 12. For the theoretical density, the calculation gives 8.2 g cm⁻³. The energy above the lowest structure with this stoichiometry comes out at 0.2766 eV/atom. As for the final energy: -51.99 eV/f.u.

a b c (Å): 6.690 6.690 12.600
angles (deg): 114.94 114.94 51.98
Fractional coordinates of all 12 atoms:
Nd (0.000, 0.000, 0.000)
Dy (0.059, 0.059, 0.329)
Dy (0.211, 0.211, 0.922)
Dy (0.366, 0.366, 0.497)
Dy (0.500, 0.500, 0.000)
Dy (0.634, 0.634, 0.503)
Dy (0.789, 0.789, 0.078)
Dy (0.941, 0.941, 0.671)
Ho (0.250, 0.250, 0.683)
Ho (0.367, 0.367, 0.225)
Ho (0.633, 0.633, 0.775)
Ho (0.750, 0.750, 0.317)


10.
## NdDy3Ho4 (GGA-PBE)

Data for a relaxed NdDy3Ho4 crystal.

## Properties
Its space group is Cmmm, No. 65. For the theoretical density, the calculation gives 8.2 g cm⁻³. The energy above the lowest structure with this stoichiometry comes out at 0.2098 eV/atom. As for the final energy: -35.12 eV/f.u.

a b c (Å): 13.367 13.367 3.538
angles (deg): 90.00 90.00 155.64
Fractional coordinates of all 8 atoms:
Nd (0.000, 0.000, 0.000)
Dy (0.344, 0.656, 0.000)
Dy (0.500, 0.500, 0.500)
Dy (0.656, 0.344, 0.000)
Ho (0.105, 0.895, 0.500)
Ho (0.224, 0.776, 0.500)
Ho (0.776, 0.224, 0.500)
Ho (0.895, 0.105, 0.500)


11.
## Nd3Dy6Ho2 (GGA-PBE)

Data for a relaxed Nd3Dy6Ho2 crystal.

## Properties
Its space group is R-3m, No. 166. For the theoretical density, the calculation gives 8.1 g cm⁻³. The energy above the lowest structure with this stoichiometry comes out at 0.0000 eV/atom. As for the final energy: -50.88 eV/f.u.

a b c (Å): 32.058 32.058 32.058
angles (deg): 6.40 6.40 6.40
Fractional coordinates of all 11 atoms:
Nd (0.000, 0.000, 0.000)
Nd (0.272, 0.272, 0.272)
Nd (0.728, 0.728, 0.728)
Dy (0.092, 0.092, 0.092)
Dy (0.182, 0.182, 0.182)
Dy (0.364, 0.364, 0.364)
Dy (0.636, 0.636, 0.636)
Dy (0.818, 0.818, 0.818)
Dy (0.908, 0.908, 0.908)
Ho (0.455, 0.455, 0.455)
Ho (0.545, 0.545, 0.545)


12.
## Nd2DyHo8 (GGA-PBE)

Data for a relaxed Nd2DyHo8 crystal.

## Properties
Its space group is C2/m, No. 12. For the theoretical density, the calculation gives 8.2 g cm⁻³. The energy above the lowest structure with this stoichiometry comes out at 0.0000 eV/atom. As for the final energy: -49.01 eV/f.u.

a b c (Å): 9.191 9.191 5.885
angles (deg): 105.48 105.48 121.22
Fractional coordinates of all 11 atoms:
Nd (0.193, 0.807, 0.000)
Nd (0.807, 0.193, 0.000)
Dy (0.500, 0.500, 0.500)
Ho (0.072, 0.072, 0.296)
Ho (0.170, 0.402, 0.827)
Ho (0.293, 0.707, 0.500)
Ho (0.402, 0.170, 0.827)
Ho (0.598, 0.830, 0.173)
Ho (0.707, 0.293, 0.500)
Ho (0.830, 0.598, 0.173)
Ho (0.928, 0.928, 0.704)


13.
## NdDyHo4 (GGA-PBE)

Data for a relaxed NdDyHo4 crystal.

## Properties
Its space group is Cmcm, No. 63. For the theoretical density, the calculation gives 8.2 g cm⁻³. The energy above the lowest structure with this stoichiometry comes out at 0.2316 eV/atom. As for the final energy: -26.17 eV/f.u.

a b c (Å): 6.815 6.815 9.876
angles (deg): 90.00 90.00 121.62
Fractional coordinates of all 12 atoms:
Nd (0.175, 0.825, 0.750)
Nd (0.825, 0.175, 0.250)
Dy (0.000, 0.000, 0.000)
Dy (0.000, 0.000, 0.500)
Ho (0.155, 0.360, 0.750)
Ho (0.346, 0.654, 0.069)
Ho (0.346, 0.654, 0.431)
Ho (0.360, 0.155, 0.250)
Ho (0.640, 0.845, 0.750)
Ho (0.654, 0.346, 0.569)
Ho (0.654, 0.346, 0.931)
Ho (0.845, 0.640, 0.250)


14.
## NdDy4Ho6 (GGA-PBE)

Data for a relaxed NdDy4Ho6 crystal.

## Properties
Its space group is Cmcm, No. 63. For the theoretical density, the calculation gives 8.5 g cm⁻³. The energy above the lowest structure with this stoichiometry comes out at 0.0000 eV/atom. As for the final energy: -49.28 eV/f.u.

a b c (Å): 5.581 5.581 25.616
angles (deg): 90.00 90.00 118.74
Fractional coordinates of all 22 atoms:
Nd (0.185, 0.815, 0.750)
Nd (0.815, 0.185, 0.250)
Dy (0.158, 0.842, 0.042)
Dy (0.158, 0.842, 0.458)
Dy (0.473, 0.527, 0.121)
Dy (0.473, 0.527, 0.379)
Dy (0.527, 0.473, 0.621)
Dy (0.527, 0.473, 0.879)
Dy (0.842, 0.158, 0.542)
Dy (0.842, 0.158, 0.958)
Ho (0.145, 0.855, 0.181)
Ho (0.145, 0.855, 0.319)
Ho (0.188, 0.812, 0.602)
Ho (0.188, 0.812, 0.898)
Ho (0.481, 0.519, 0.250)
Ho (0.500, 0.500, 0.000)
Ho (0.500, 0.500, 0.500)
Ho (0.519, 0.481, 0.750)
Ho (0.812, 0.188, 0.102)
Ho (0.812, 0.188, 0.398)
Ho (0.855, 0.145, 0.681)
Ho (0.855, 0.145, 0.819)


15.
## Nd4Dy7Ho (GGA-PBE)

Data for a relaxed Nd4Dy7Ho crystal.

## Properties
Its space group is P-1, No. 2. For the theoretical density, the calculation gives 7.9 g cm⁻³. The energy above the lowest structure with this stoichiometry comes out at 0.0000 eV/atom. As for the final energy: -54.81 eV/f.u.

a b c (Å): 6.562 6.856 9.109
angles (deg): 85.32 77.34 82.06
Fractional coordinates of all 12 atoms:
Nd (0.139, 0.310, 0.283)
Nd (0.339, 0.884, 0.693)
Nd (0.661, 0.116, 0.307)
Nd (0.861, 0.690, 0.717)
Dy (0.011, 0.253, 0.950)
Dy (0.181, 0.802, 0.359)
Dy (0.313, 0.393, 0.617)
Dy (0.500, 0.000, 0.000)
Dy (0.687, 0.607, 0.383)
Dy (0.819, 0.198, 0.641)
Dy (0.989, 0.747, 0.050)
Ho (0.500, 0.500, 0.000)


16.
## Nd10Dy4Ho (GGA-PBE)

Data for a relaxed Nd10Dy4Ho crystal.

## Properties
Its space group is I4/m, No. 87. For the theoretical density, the calculation gives 6.3 g cm⁻³. As for the final energy: -60.31 eV/f.u.

a b c (Å): 9.578 9.578 9.578
angles (deg): 99.57 99.57 131.87
Fractional coordinates of all 15 atoms:
Nd (0.050, 0.350, 0.899)
Nd (0.151, 0.050, 0.700)
Nd (0.250, 0.750, 0.500)
Nd (0.350, 0.450, 0.300)
Nd (0.450, 0.151, 0.101)
Nd (0.550, 0.849, 0.899)
Nd (0.650, 0.550, 0.700)
Nd (0.750, 0.250, 0.500)
Nd (0.849, 0.950, 0.300)
Nd (0.950, 0.650, 0.101)
Dy (0.100, 0.700, 0.801)
Dy (0.300, 0.100, 0.400)
Dy (0.700, 0.900, 0.600)
Dy (0.900, 0.300, 0.199)
Ho (0.500, 0.500, 0.000)


17.
## NdDy6Ho12 (GGA-PBE)

Data for a relaxed NdDy6Ho12 crystal.

## Properties
Its space group is R-3, No. 148. For the theoretical density, the calculation gives 8.7 g cm⁻³. The energy above the lowest structure with this stoichiometry comes out at 0.0000 eV/atom. As for the final energy: -86.96 eV/f.u.

a b c (Å): 9.353 9.353 9.353
angles (deg): 110.91 110.91 110.91
Fractional coordinates of all 19 atoms:
Nd (0.000, 0.000, 0.000)
Dy (0.053, 0.579, 0.369)
Dy (0.369, 0.053, 0.579)
Dy (0.421, 0.631, 0.947)
Dy (0.579, 0.369, 0.053)
Dy (0.631, 0.947, 0.421)
Dy (0.947, 0.421, 0.631)
Ho (0.106, 0.159, 0.737)
Ho (0.159, 0.737, 0.106)
Ho (0.211, 0.317, 0.475)
Ho (0.263, 0.894, 0.841)
Ho (0.317, 0.475, 0.211)
Ho (0.475, 0.211, 0.317)
Ho (0.525, 0.789, 0.683)
Ho (0.683, 0.525, 0.789)
Ho (0.737, 0.106, 0.159)
Ho (0.789, 0.683, 0.525)
Ho (0.841, 0.263, 0.894)
Ho (0.894, 0.841, 0.263)


18.
## NdDy2Ho2 (GGA-PBE)

Data for a relaxed NdDy2Ho2 crystal.

## Properties
Its space group is Fddd, No. 70. For the theoretical density, the calculation gives 7.3 g cm⁻³. The energy above the lowest structure with this stoichiometry comes out at 0.4200 eV/atom. As for the final energy: -20.60 eV/f.u.

a b c (Å): 12.768 11.678 6.448
angles (deg): 84.31 65.52 30.17
Fractional coordinates of all 10 atoms:
Nd (0.125, 0.125, 0.125)
Nd (0.875, 0.875, 0.875)
Dy (0.000, 0.000, 0.000)
Dy (0.000, 0.000, 0.500)
Dy (0.000, 0.500, 0.000)
Dy (0.500, 0.000, 0.000)
Ho (0.204, 0.546, 0.204)
Ho (0.454, 0.796, 0.454)
Ho (0.546, 0.204, 0.546)
Ho (0.796, 0.454, 0.796)


19.
## Nd11Dy9Ho4 (GGA-PBE)

Data for a relaxed Nd11Dy9Ho4 crystal.

## Properties
Its space group is Cmmm, No. 65. For the theoretical density, the calculation gives 7.7 g cm⁻³. As for the final energy: -110.85 eV/f.u.

a b c (Å): 15.443 15.443 3.662
angles (deg): 90.00 90.00 113.13
Fractional coordinates of all 24 atoms:
Nd (0.000, 0.000, 0.000)
Nd (0.043, 0.405, 0.000)
Nd (0.160, 0.840, 0.000)
Nd (0.293, 0.293, 0.000)
Nd (0.369, 0.631, 0.000)
Nd (0.405, 0.043, 0.000)
Nd (0.595, 0.957, 0.000)
Nd (0.631, 0.369, 0.000)
Nd (0.707, 0.707, 0.000)
Nd (0.840, 0.160, 0.000)
Nd (0.957, 0.595, 0.000)
Dy (0.068, 0.214, 0.500)
Dy (0.166, 0.630, 0.500)
Dy (0.214, 0.068, 0.500)
Dy (0.370, 0.834, 0.500)
Dy (0.500, 0.500, 0.500)
Dy (0.630, 0.166, 0.500)
Dy (0.786, 0.932, 0.500)
Dy (0.834, 0.370, 0.500)
Dy (0.932, 0.786, 0.500)
Ho (0.241, 0.445, 0.500)
Ho (0.445, 0.241, 0.500)
Ho (0.555, 0.759, 0.500)
Ho (0.759, 0.555, 0.500)


| no. | calculated formation energy (eV/atom) |
| --- | --- |
| 1 | 0.3032 |
| 2 | 0.1146 |
| 3 | 0.0996 |
| 4 | 0.2605 |
| 5 | 0.2016 |
| 6 | 0.2003 |
| 7 | 0.0202 |
| 8 | 0.9833 |
| 9 | 0.2751 |
| 10 | 0.2204 |
| 11 | 0.0177 |
| 12 | 0.1588 |
| 13 | 0.2521 |
| 14 | 0.1236 |
| 15 | 0.0876 |
| 16 | 0.6903 |
| 17 | 0.0185 |
| 18 | 0.5047 |
| 19 | 0.0551 |